Ba2NiOs: optimized geometry, GGA-PBE.

Its energy above the lowest structure with this stoichiometry is 62 meV per atom. The formation energy comes out at 0.386 eV/atom. Its symmetry is No. 44. Its density of states at the Fermi level is 2.835 states/eV/cell. As for the final energy: -19.3 eV for the cell shown. The calculation puts the mass density at 5.95 g/cm3.

Cell lengths 8.129, 8.129, 8.129 Å; angles 149.46, 147.50, 45.19 degrees
Sites, in units of the cell vectors:
1 Os 0.350 0.850 0.500
2 Ni 0.404 0.404 0.000
3 Ba 0.992 0.992 0.000
4 Ba 0.754 0.254 0.500